No. 1
Below is a relaxed structure of TcAuSe2, with properties calculated at the GGA-PBEsol level.

Structure (POSCAR):
```
TcAuSe2
1.0
-2.138 2.138 3.589
2.138 -2.138 3.589
2.138 2.138 -3.589
Tc Au Se
1 1 2
Cartesian
0.000 0.000 0.000
0.000 0.000 3.589
2.138 0.000 1.795
0.000 2.138 1.795
```

Output
The uncorrected energy is -5.3505 eV per atom. The uncorrected formation energy is 372 meV per atom. The total magnetic moment comes out at 0.0 μB/cell. As for the density of states at the Fermi level: 3.0 states/eV per cell.

=====

No. 2
Below is a relaxed structure of TiTc2AuSe, with properties calculated at the GGA-PBEsol level.

Structure (POSCAR):
```
TiTc2AuSe
1.0
4.490 0.000 0.000
0.000 4.490 0.000
0.000 0.000 4.688
Ti Tc Au Se
1 2 1 1
Cartesian
0.000 0.000 0.000
0.000 2.245 2.344
2.245 0.000 2.344
2.245 2.245 0.000
2.245 2.245 2.344
```

Output
The uncorrected energy is -6.6997 eV per atom. The uncorrected formation energy is 1026 meV per atom. The total magnetic moment comes out at 0.2 μB/cell. As for the density of states at the Fermi level: 5.4 states/eV per cell.

=====

No. 3
Below is a relaxed structure of Te2AuSe, with properties calculated at the GGA-PBEsol level.

Structure (POSCAR):
```
Te2AuSe
1.0
-2.863 2.863 7.452
2.863 -2.863 7.452
2.863 2.863 -7.452
Te Au Se
4 2 2
Cartesian
4.294 1.358 -1.863
1.358 1.431 1.863
-1.431 1.505 5.589
1.505 1.431 9.315
0.000 0.000 0.000
0.000 2.863 3.726
2.863 0.000 3.726
0.000 0.000 7.452
```

Output
The uncorrected energy is -3.4682 eV per atom. The uncorrected formation energy is 238 meV per atom. As for the polymorph energy (0 for the lowest one): 1.17 eV per formula unit. The total magnetic moment comes out at 0.0 μB/cell. As for the density of states at the Fermi level: 5.0 states/eV per cell.

=====

Q: Which value of uncorrected energy does entry 1 give?
A: -5.3505 eV per atom

=====

Q: Look up the uncorrected energy of the second one.
A: -6.6997 eV per atom